Entry 1:
GeTe4Cl | PBE-GGA | optimized geometry

a = 8.4447 Å, b = 8.4447 Å, c = 6.7016 Å
α = 111.36°, β = 111.36°, γ = 79.42°
Positions (direct):
1 Ge 0.0169 0.0169 0.2011
2 Ge 0.9831 0.9831 0.7989
3 Te 0.0891 0.7123 0.2569
4 Te 0.2194 0.2194 0.5638
5 Te 0.2877 0.9109 0.7431
6 Te 0.3229 0.6771 0.0000
7 Te 0.6771 0.3229 0.0000
8 Te 0.7123 0.0891 0.2569
9 Te 0.7806 0.7806 0.4362
10 Te 0.9109 0.2877 0.7431
11 Cl 0.2758 0.2758 0.1261
12 Cl 0.7242 0.7242 0.8739

Results
**M_tot**: 0.000 μB/cell
**Calculated density**: 4964 kg/m³
**Space group**: No. 12
**Formation energy (no corrections)**: -0.09 eV per formula unit

Entry 2:
GeTeCl | PBE-GGA | optimized geometry

a = 5.3626 Å, b = 6.0162 Å, c = 6.6708 Å
α = 100.41°, β = 108.46°, γ = 100.69°
Positions (direct):
1 Ge 0.0931 0.0169 0.3113
2 Ge 0.9069 0.9831 0.6887
3 Te 0.3944 0.1868 0.0525
4 Te 0.6056 0.8132 0.9475
5 Cl 0.2271 0.6770 0.3175
6 Cl 0.7729 0.3230 0.6825

Results
**M_tot**: 0.000 μB/cell
**Calculated density**: 4037 kg/m³
**Space group**: No. 2
**Formation energy (no corrections)**: -1.14 eV per formula unit
**Energy above the most stable polymorph in this dataset**: 0 meV per atom

Entry 3:
GeTeCl | PBE-GGA | optimized geometry

a = 5.0206 Å, b = 5.0206 Å, c = 3.2345 Å
α = 90.00°, β = 90.00°, γ = 120.00°
Positions (direct):
1 Ge 0.0000 0.0000 0.0000
2 Te 0.6667 0.3333 0.2548
3 Cl 0.3333 0.6667 0.7742

Results
**M_tot**: 0.000 μB/cell
**Calculated density**: 5543 kg/m³
**Space group**: No. 156
**Formation energy (no corrections)**: -0.08 eV per formula unit
**Energy above the most stable polymorph in this dataset**: 354 meV per atom

Entry 4:
GeTeCl | PBE-GGA | optimized geometry

a = 5.8280 Å, b = 6.2797 Å, c = 6.4571 Å
α = 88.24°, β = 84.89°, γ = 74.32°
Positions (direct):
1 Ge 0.0000 0.0000 0.0000
2 Ge 0.2193 0.3208 0.3662
3 Te 0.3312 0.2549 0.9364
4 Te 0.4167 0.8948 0.2103
5 Cl 0.1419 0.7457 0.7289
6 Cl 0.8168 0.3320 0.3955

Results
**M_tot**: 0.000 μB/cell
**Calculated density**: 3454 kg/m³
**Space group**: No. 1
**Formation energy (no corrections)**: -1.03 eV per formula unit
**Energy above the most stable polymorph in this dataset**: 36 meV per atom